First-principles (PBE-GGA) data for crystalline TaB3Se at its relaxed geometry, as listed in Alexandria.

VASP energy in eV/atom: -5.280

Cell and atoms, written as CIF:
```
data_TaB3Se
_space_group_name_H-M_alt 'P m -3 m'
_space_group_IT_number 221
_space_group_name_Hall '-P 4 2 3'
_cell_length_a 4.379
_cell_length_b 4.379
_cell_length_c 4.379
_cell_angle_alpha 90.00
_cell_angle_beta 90.00
_cell_angle_gamma 90.00
loop_
_atom_site_label
_atom_site_fract_x
_atom_site_fract_y
_atom_site_fract_z
_atom_site_occupancy
Ta1 0.000 0.000 0.000 1
B1 0.000 0.000 0.500 1
Se1 0.500 0.500 0.500 1
```